Record 1
Density functional theory data (PBE) for an optimized crystal structure of Lu5Sc5Si20Ir8.

a = 12.479 Å, b = 12.479 Å, c = 4.150 Å
α = 90.00°, β = 90.00°, γ = 89.99°
Atoms (fractional coordinates):
Si 0.201 0.665 0.000
Si 0.003 0.652 0.500
Si 0.505 0.850 0.500
Si 0.997 0.349 0.500
Si 0.798 0.336 0.000
Si 0.934 0.066 0.000
Si 0.150 0.495 0.500
Si 0.664 0.202 0.000
Si 0.335 0.799 0.000
Si 0.702 0.836 0.000
Si 0.348 0.997 0.500
Si 0.065 0.935 0.000
Si 0.651 0.003 0.500
Si 0.298 0.164 0.000
Si 0.435 0.434 0.000
Si 0.497 0.151 0.500
Si 0.566 0.565 0.000
Si 0.836 0.702 0.000
Si 0.164 0.298 0.000
Si 0.849 0.503 0.500
Ir 0.480 0.245 0.000
Ir 0.245 0.480 0.000
Ir 0.254 0.980 0.000
Ir 0.020 0.746 0.000
Ir 0.520 0.755 0.000
Ir 0.980 0.255 0.000
Ir 0.755 0.520 0.000
Ir 0.745 0.020 0.000
Sc 0.000 0.500 0.000
Sc 0.616 0.384 0.500
Sc 0.116 0.116 0.500
Sc 0.884 0.884 0.500
Sc 0.500 0.000 0.000
Lu 0.174 0.826 0.500
Lu 0.825 0.175 0.500
Lu 0.325 0.324 0.500
Lu 0.676 0.675 0.500
Lu 0.385 0.615 0.500

**Raw formation energy**: -0.849 eV/atom
**DFT total energy**: -0.2571 Ha/atom



Record 2
Density functional theory data (PBE) for an optimized crystal structure of LuScSnIr.

a = 4.893 Å, b = 4.893 Å, c = 4.893 Å
α = 60.00°, β = 60.00°, γ = 60.00°
Atoms (fractional coordinates):
Sc 0.000 0.000 0.000
Sn 0.250 0.250 0.250
Ir 0.750 0.750 0.750
Lu 0.500 0.500 0.500

**Energy relative to the elements**: -0.6456 eV/atom
**DFT total energy**: -0.2416 Ha/atom



Ρ readings, ordered: 8.2 10.6 Mg/m³